Entry from the Alexandria database: a relaxed structure of BaGa2Ge2 (GGA-PBE).

Computed properties:
ΔE_f in eV per atom: -0.099

Cell: 8.308 8.308 3.511 Å, 90.00 90.00 90.00°
Space group P4/mbm (No. 127)
Symmetry-distinct sites (fractional):
Ba  0.000  0.000  0.000 x2
Ga  0.146  0.354  0.500 x4
Ge  0.119  0.619  0.000 x4

Entry from the Alexandria database: a relaxed structure of EuHgAsAu (GGA-PBE).

Computed properties:
ΔE_f in eV per atom: -0.449

Cell: 7.178 7.178 7.178 Å, 90.00 90.00 90.00°
Space group F-43m (No. 216)
Symmetry-distinct sites (fractional):
Eu  0.000  0.000  0.000 x4
Hg  0.000  0.000  0.500 x4
As  0.250  0.250  0.750 x4
Au  0.250  0.250  0.250 x4

Entry from the Alexandria database: a relaxed structure of Mg2Sn (GGA-PBE).

Computed properties:
ΔE_f in eV per atom: -0.032

Cell: 3.4162 3.4162 14.4887 Å, 90.00 90.00 120.00°
Space group P-6m2 (No. 187)
Symmetry-distinct sites (fractional):
Mg  0.0000  0.0000  0.0000 x1
Mg  0.0000  0.0000  0.3292 x2
Mg  0.6667  0.3333  0.5000 x1
Sn  0.6667  0.3333  0.1638 x2

Entry from the Alexandria database: a relaxed structure of PuAs12Os4 (GGA-PBE).

Computed properties:
ΔE_f in eV per atom: -0.295

Cell: 8.613 8.613 8.613 Å, 90.00 90.00 90.00°
Space group Im-3 (No. 204)
Symmetry-distinct sites (fractional):
Pu  0.000  0.000  0.000 x2
As  0.000  0.346  0.149 x24
Os  0.250  0.250  0.250 x8

Entry from the Alexandria database: a relaxed structure of PrRu2C (GGA-PBE).

Computed properties:
ΔE to the lowest computed polymorph in meV per atom: 510
ΔE_f in eV per atom: 0.647

Cell: 4.9452 4.9452 12.4769 Å, 90.00 90.00 120.00°
Space group R-3m (No. 166, hexagonal axes)
Symmetry-distinct sites (fractional):
Pr  0.0000  0.0000  0.0000 x3
Ru  0.0000  0.0000  0.3565 x6
C  0.0000  0.0000  0.5000 x3

Entry from the Alexandria database: a relaxed structure of Pm5YEr3 (GGA-PBE).

Computed properties:
ΔE to the lowest computed polymorph in meV per atom: 0
ΔE_f in eV per atom: 0.178

Cell: 16.401 6.744 11.600 Å, 90.00 110.36 90.00°
Space group C2/c (No. 15)
Symmetry-distinct sites (fractional):
Pm  0.000  0.190  0.250 x4
Pm  0.111  0.003  0.551 x8
Pm  0.172  0.412  0.344 x8
Y  0.000  0.259  0.750 x4
Er  0.000  0.500  0.000 x4
Er  0.239  0.096  0.874 x8

Entry from the Alexandria database: a relaxed structure of LaTe8 (GGA-PBE).

Computed properties:
Energy relative to the elements, uncorrected in eV/atom: -0.3829

Cell: 13.029 13.029 4.215 Å, 90.00 90.00 90.00°
Space group I4/mmm (No. 139)
Symmetry-distinct sites (fractional):
La  0.000  0.000  0.000 x2
Te  0.000  0.248  0.000 x8
Te  0.147  0.147  0.500 x8

Entry from the Alexandria database: a relaxed structure of Ta2PbAu (GGA-PBE).

Computed properties:
ΔE_f in eV per atom: 0.651

Cell: 6.851 6.851 6.851 Å, 90.00 90.00 90.00°
Space group F-43m (No. 216)
Symmetry-distinct sites (fractional):
Ta  0.000  0.000  0.000 x4
Ta  0.250  0.250  0.250 x4
Pb  0.250  0.250  0.750 x4
Au  0.000  0.000  0.500 x4

Values of size of the total moment, in order: 0.00, 6.93, 0.00, 3.97, 0.00, 0.00, 0.00, 0.00, all in μB per formula unit.